Below is a relaxed structure of BeZn2O2, with properties calculated at the PBE level.

abc: 3.758 3.758 4.953
angles: 67.70 67.70 90.00
Sites, in units of the cell vectors:
1 Be 0.000 0.000 0.000
2 Zn 0.352 0.352 0.295
3 Zn 0.648 0.648 0.705
4 O 0.750 0.250 0.500
5 O 0.250 0.750 0.500

Computed properties:
Formation energy from raw total energies   -0.235 eV/atom
Distance to the lowest polymorph of the same formula   0 meV per atom
SG   I4/mmm (139)

---

Below is a relaxed structure of LaTb2Y12, with properties calculated at the PBE level.

abc: 6.716 6.716 24.976
angles: 90.00 90.00 116.35
Sites, in units of the cell vectors:
1 La 0.500 0.000 0.994
2 La 0.000 0.500 0.006
3 Tb 0.500 0.000 0.267
4 Tb 0.000 0.500 0.272
5 Tb 0.000 0.500 0.733
6 Tb 0.500 0.000 0.728
7 Y 0.500 0.500 0.798
8 Y 0.000 0.000 0.798
9 Y 0.759 0.741 0.920
10 Y 0.253 0.753 0.867
11 Y 0.000 0.000 0.328
12 Y 0.247 0.747 0.133
13 Y 0.760 0.260 0.586
14 Y 0.500 0.500 0.328
15 Y 0.241 0.259 0.920
16 Y 0.741 0.759 0.080
17 Y 0.263 0.237 0.561
18 Y 0.740 0.240 0.414
19 Y 0.000 0.000 0.672
20 Y 0.237 0.263 0.439
21 Y 0.259 0.241 0.080
22 Y 0.763 0.737 0.439
23 Y 0.737 0.763 0.561
24 Y 0.000 0.000 0.202
25 Y 0.240 0.740 0.586
26 Y 0.500 0.500 0.672
27 Y 0.747 0.247 0.867
28 Y 0.500 0.500 0.202
29 Y 0.260 0.760 0.414
30 Y 0.753 0.253 0.133

Computed properties:
DFT formation energy   0.17 eV per atom
SG   Cmme (67)

---

Below is a relaxed structure of RbBr4, with properties calculated at the PBE level.

abc: 8.210 8.210 8.300
angles: 60.36 60.36 90.00
Sites, in units of the cell vectors:
1 Br 0.500 0.500 0.000
2 Br 0.000 0.000 0.000
3 Br 0.216 0.216 0.568
4 Br 0.784 0.784 0.432
5 Br 0.275 0.275 0.000
6 Br 0.725 0.725 0.000
7 Br 0.725 0.275 0.000
8 Br 0.275 0.725 0.000
9 Rb 0.750 0.250 0.500
10 Rb 0.250 0.750 0.500

Computed properties:
Formation energy from raw total energies   -0.635 eV/atom
Distance to the lowest polymorph of the same formula   0 meV per atom
SG   I4/mmm (139)

---

Below is a relaxed structure of Tb6HoTm6, with properties calculated at the PBE level.

abc: 6.613 6.613 11.224
angles: 90.00 90.00 119.99
Last column: magnetic moment on the atom in μB.
Sites, in units of the cell vectors:
1 Tb 0.000 0.000 0.657  0.26
2 Tb 0.000 0.000 0.343  0.26
3 Tb 0.333 0.667 0.000  0.03
4 Tb 0.667 0.333 0.000  0.03
5 Tb 0.333 0.667 0.500  0.34
6 Tb 0.667 0.333 0.500  0.34
7 Ho 0.000 0.000 0.000  0.07
8 Tm 0.000 0.500 0.757  0.20
9 Tm 0.500 0.000 0.757  0.20
10 Tm 0.500 0.500 0.757  0.20
11 Tm 0.500 0.000 0.243  0.20
12 Tm 0.000 0.500 0.243  0.20
13 Tm 0.500 0.500 0.243  0.20

Computed properties:
DFT formation energy   0.28 eV per atom
SG   P6/mmm (191)

---

Below is a relaxed structure of Hf3AgO, with properties calculated at the PBE level.

abc: 4.417 4.417 4.417
angles: 90.00 90.00 90.00
Sites, in units of the cell vectors:
1 Hf 0.000 0.500 0.000
2 Hf 0.000 0.000 0.500
3 Hf 0.500 0.000 0.000
4 O 0.000 0.000 0.000
5 Ag 0.500 0.500 0.500

Computed properties:
Formation energy from raw total energies   -0.923 eV/atom
Distance to the lowest polymorph of the same formula   0 meV per atom
SG   Pm-3m (221)

---

Below is a relaxed structure of Na3Er3CrSe8, with properties calculated at the PBE level.

abc: 7.948 7.956 8.537
angles: 117.84 90.00 119.97
Last column: magnetic moment on the atom in μB.
Sites, in units of the cell vectors:
1 Na 0.000 0.000 0.000  0.00
2 Na 0.000 0.500 0.000  0.00
3 Na 0.500 0.500 0.000  0.00
4 Er 0.500 0.000 0.500  0.01
5 Er 0.500 0.500 0.500  0.01
6 Er 0.000 0.500 0.500  0.01
7 Cr 0.000 0.000 0.500  2.76
8 Se 0.257 0.513 0.270  -0.03
9 Se 0.743 0.487 0.730  -0.03
10 Se 0.776 0.551 0.288  -0.06
11 Se 0.224 0.449 0.712  -0.06
12 Se 0.776 0.012 0.288  -0.06
13 Se 0.224 0.988 0.712  -0.06
14 Se 0.236 0.012 0.288  -0.06
15 Se 0.764 0.988 0.712  -0.06

Computed properties:
Formation energy from raw total energies   -1.387 eV/atom
SG   C2/m (12)

---

Below is a relaxed structure of La3Al3Si2, with properties calculated at the PBE level.

abc: 4.183 6.204 16.263
angles: 90.00 90.00 109.70
Sites, in units of the cell vectors:
1 La 0.849 0.698 0.410
2 La 0.151 0.302 0.910
3 La 0.849 0.698 0.090
4 La 0.151 0.302 0.590
5 La 0.555 0.110 0.250
6 La 0.445 0.890 0.750
7 Al 0.569 0.138 0.441
8 Al 0.431 0.862 0.941
9 Al 0.569 0.138 0.059
10 Al 0.431 0.862 0.559
11 Al 0.279 0.559 0.250
12 Al 0.721 0.441 0.750
13 Si 0.856 0.713 0.879
14 Si 0.144 0.287 0.379
15 Si 0.856 0.713 0.621
16 Si 0.144 0.287 0.121

Computed properties:
Formation energy from raw total energies   -0.586 eV/atom
SG   Cmcm (63)

---

Below is a relaxed structure of Ba2SrAgS, with properties calculated at the PBE level.

abc: 6.286 5.896 6.286
angles: 90.00 90.00 90.00
Sites, in units of the cell vectors:
1 Sr 0.000 0.500 0.000
2 S 0.500 0.500 0.500
3 Ba 0.000 0.000 0.500
4 Ba 0.500 0.000 0.000
5 Ag 0.000 0.000 0.000

Computed properties:
Formation energy from raw total energies   -0.190 eV/atom
SG   P4/mmm (123)

---

Below is a relaxed structure of CaLa2B2, with properties calculated at the PBE level.

abc: 4.443 4.443 6.547
angles: 70.16 70.16 90.00
Sites, in units of the cell vectors:
1 Ca 0.000 0.000 0.000
2 B 0.430 0.430 0.139
3 B 0.570 0.570 0.861
4 La 0.750 0.250 0.500
5 La 0.250 0.750 0.500

Computed properties:
DFT formation energy   0.27 eV per atom
Distance to the lowest polymorph of the same formula   222 meV per atom
SG   I4/mmm (139)

---

Below is a relaxed structure of YTh2ScBi4, with properties calculated at the PBE level.

abc: 4.512 7.809 7.728
angles: 109.77 90.00 90.00
Sites, in units of the cell vectors:
1 Y 0.000 0.000 0.000
2 Th 0.500 0.000 0.500
3 Th 0.000 0.500 0.500
4 Sc 0.500 0.500 0.000
5 Bi 0.500 0.251 0.235
6 Bi 0.500 0.749 0.765
7 Bi 0.000 0.262 0.769
8 Bi 0.000 0.738 0.231

Computed properties:
DFT formation energy   -0.66 eV per atom
SG   P2/m (10)

---

Below is a relaxed structure of PtClF2, with properties calculated at the PBE level.

abc: 10.353 10.353 10.353
angles: 15.41 15.41 15.41
Last column: magnetic moment on the atom in μB.
Sites, in units of the cell vectors:
1 F 0.938 0.938 0.938  0.18
2 F 0.062 0.062 0.062  0.18
3 Pt 0.000 0.000 0.000  0.41
4 Cl 0.500 0.500 0.500  -0.14

Computed properties:
Formation energy from raw total energies   -0.477 eV/atom
Distance to the lowest polymorph of the same formula   386 meV per atom
SG   R-3m (166)

---

Below is a relaxed structure of Tl5GeAu2, with properties calculated at the PBE level.

abc: 3.759 6.692 17.906
angles: 90.00 90.00 106.31
Sites, in units of the cell vectors:
1 Tl 0.942 0.884 0.902
2 Tl 0.942 0.884 0.598
3 Tl 0.343 0.686 0.451
4 Tl 0.343 0.686 0.049
5 Tl 0.442 0.884 0.250
6 Tl 0.558 0.116 0.750
7 Tl 0.657 0.314 0.549
8 Tl 0.657 0.314 0.951
9 Tl 0.058 0.116 0.098
10 Tl 0.058 0.116 0.402
11 Ge 0.826 0.651 0.750
12 Ge 0.174 0.349 0.250
13 Au 0.757 0.513 0.337
14 Au 0.757 0.513 0.163
15 Au 0.243 0.487 0.663
16 Au 0.243 0.487 0.837

Computed properties:
DFT formation energy   0.02 eV per atom
SG   Cmcm (63)